# Ir2PtN2

An optimized crystal structure of Ir2PtN2 (PBE, Alexandria).

a = 3.3656 Å, b = 3.3656 Å, c = 5.9001 Å
α = 73.43°, β = 73.43°, γ = 90.00°
Positions (direct):
Ir 0.3614 0.3614 0.2773
Ir 0.6386 0.6386 0.7227
Pt 0.0000 0.0000 0.0000
N 0.7500 0.2500 0.5000
N 0.2500 0.7500 0.5000

Output
- VASP energy: -7.301 eV/atom
- Volume: 12.23 Å³ per atom
- Raw formation energy: 781.3 meV per atom
- Energy relative to the lowest polymorph listed for this composition: 0.0 meV per atom
- Size of the total moment: 0.0 μB/cell